[1]
Compound: La2InBRh
Source: Alexandria via LeMat-Bulk
Functional: PBE
Structure: optimized geometry

Values from the calculation:
- symmetry = P4/mmm
- uncorrected energy (eV/cell) = -28.536
- formation enthalpy at 0 K (eV per atom) = -0.383

Unit cell a=5.5371 b=4.0236 c=5.5371 alpha=90.00 beta=90.00 gamma=90.00
Atoms (fractional coordinates):
B: 0.0000 0.0000 0.0000
In: 0.5000 0.5000 0.5000
Rh: 0.0000 0.5000 0.0000
La: 0.0000 0.0000 0.5000
La: 0.5000 0.0000 0.0000

***

[2]
Compound: La2InBRu
Source: Alexandria via LeMat-Bulk
Functional: PBE
Structure: optimized geometry

Values from the calculation:
- symmetry = P4/mmm
- uncorrected energy (eV/cell) = -29.775
- formation enthalpy at 0 K (eV per atom) = -0.246

Unit cell a=5.5048 b=4.0429 c=5.5048 alpha=90.00 beta=90.00 gamma=90.00
Atoms (fractional coordinates):
Ru: 0.0000 0.5000 0.0000
B: 0.0000 0.0000 0.0000
In: 0.5000 0.5000 0.5000
La: 0.0000 0.0000 0.5000
La: 0.5000 0.0000 0.0000